First-principles (PBE-GGA) data for a relaxed structure of Li6SbPd, as listed in Alexandria.

a b c (Å): 4.6272 5.7853 10.0507
angles (deg): 90.00 90.00 90.00
With the nearest neighbours (Å) after each atom.
Space group Amm2 (No. 38)
Unique sites:
Li  0.0000  0.0000  0.0000 x2  6 Li 2.73-2.91, 2 Pd 2.79, 2 Sb 2.89
Li  0.0000  0.2356  0.7647 x4  6 Li 2.73-2.91, 2 Pd 2.80, 2 Sb 2.90
Li  0.5000  0.0000  0.3511 x2  8 Li 2.78-3.02, 2 Sb 2.81, 2 Pd 2.89
Li  0.5000  0.2393  0.5913 x4  8 Li 2.77-3.02, 2 Sb 2.82, 2 Pd 2.89-2.91
Sb  0.0000  0.0000  0.5100 x2  12 Li 2.81-2.90
Pd  0.5000  0.0000  0.8441 x2  12 Li 2.79-2.91

- Formation energy (no corrections): -3.01 eV per formula unit